Computed, not measured: a relaxed structure of CrPb3O6 at the PBE+U level of DFT.

POSCAR file:
```
CrPb3O6
1.0
4.798 -6.235 0.000
4.798 6.235 0.000
0.000 0.000 6.085
Cr Pb O
2 6 12
direct
0.194 0.806 0.500
0.806 0.194 0.000
0.118 0.304 0.465
0.304 0.118 0.965
0.402 0.598 0.947
0.598 0.402 0.447
0.696 0.882 0.465
0.882 0.696 0.965
0.064 0.936 0.573
0.112 0.604 0.607
0.207 0.793 0.230
0.339 0.350 0.208
0.350 0.339 0.708
0.396 0.888 0.607
0.604 0.112 0.107
0.650 0.661 0.208
0.661 0.650 0.708
0.793 0.207 0.730
0.888 0.396 0.107
0.936 0.064 0.073
```

Properties
The calculation puts the mass density at 7.020 g/cm³. The calculation puts the electronic total energy at -6.083 eV/atom. As for the calculated volume: 18.2 Å³ per atom. Its size of the total moment is 0.0 μB per formula unit.